Material: KSr2Ca
Method: DFT, PBE-GGA
State: relaxed

Output
**DOS at the Fermi energy**: 7.53 states/eV/cell
**Calculated volume**: 216 Å³/f.u.
**DFT formation energy**: 0.448 eV per formula unit
**Crystal system**: orthorhombic
**Excess energy over the best structure of this formula in the dataset**: 47 meV per atom

Cell lengths 4.550, 6.861, 13.821 Å; angles 90.00, 90.00, 90.00 degrees
Space group Imm2 (No. 44)
Unique sites:
K: 0.000 0.000 0.000
Sr: 0.000 0.000 0.515
Sr: 0.000 0.500 0.755
Ca: 0.000 0.500 0.258